A plane-wave DFT calculation with PBE was carried out for a geometry-optimized TlBP2 structure.

Output
Crystal system   tetragonal
DFT formation energy   126 meV/atom
Spin magnetization   0.00 μB per cell
Distance to the lowest polymorph of the same formula   0.0 meV/atom

Cell: 5.4385 5.4385 9.8403 Å, 90.00 90.00 90.00°
Last column: nearest neighbours and their distance in Å.
Space group I-42d (No. 122)
Unique sites:
Tl 0.0000 0.0000 0.0000 [4 per cell]  4 P 2.61
B 0.0000 0.0000 0.5000 [4 per cell]  4 P 2.02
P 0.1576 0.2500 0.6250 [8 per cell]  2 B 2.02


A plane-wave DFT calculation with PBE was carried out for a geometry-optimized HgCSN2 structure.

Output
Crystal system   tetragonal
Energy relative to the elements, uncorrected   2.17 eV/atom
Spin magnetization   0.00 μB per cell
Distance to the lowest polymorph of the same formula   0.0 meV/atom

Cell: 3.3676 3.3676 7.4004 Å, 90.00 90.00 90.00°
Last column: nearest neighbours and their distance in Å.
Space group P4/mmm (No. 123)
Unique sites:
Hg 0.0000 0.0000 0.0000 [1 per cell]  4 S 2.38
C 0.5000 0.5000 0.5000 [1 per cell]  4 N 1.68
S 0.5000 0.5000 0.0000 [1 per cell]  4 Hg 2.38
N 0.0000 0.5000 0.5000 [2 per cell]  2 C 1.68


A plane-wave DFT calculation with PBE was carried out for a geometry-optimized Ti2NiN structure.

Output
Crystal system   tetragonal
Energy relative to the elements, uncorrected   -0.59 eV/atom
Spin magnetization   0.00 μB per cell

Cell: 5.6321 5.6321 6.9603 Å, 90.00 90.00 90.00°
Last column: nearest neighbours and their distance in Å.
Space group I-42d (No. 122)
Unique sites:
Ti 0.1878 0.2500 0.1250 [8 per cell]  2 N 1.96
Ni 0.0000 0.0000 0.5000 [4 per cell]  4 Ti 2.41
N 0.0000 0.0000 0.0000 [4 per cell]  4 Ti 1.96